Entry 1:
{"formula": "Na2SnS4", "functional": "PBE", "state": "optimized geometry", "cell": [[3.811, 0.000, 0.000], [0.000, 7.731, 0.000], [0.000, 0.000, 10.528]], "species": ["S", "S", "S", "S", "Sn", "Na", "S", "Na", "Sn", "S", "Na", "Na", "S", "S"], "fractional_positions": [[0.500, 0.721, 0.064], [0.500, 0.779, 0.564], [0.000, 0.160, 0.708], [0.500, 0.221, 0.436], [0.000, 0.500, 0.000], [0.500, 0.072, 0.174], [0.500, 0.279, 0.936], [0.500, 0.928, 0.826], [0.000, 0.000, 0.500], [0.000, 0.340, 0.208], [0.500, 0.428, 0.674], [0.500, 0.572, 0.326], [0.000, 0.660, 0.792], [0.000, 0.840, 0.292]], "e_form_raw_ev_per_atom": -0.420, "space_group": "Pbam (55)", "n_ef_per_ev_atom": 0.824}

---

Entry 2:
{"formula": "Na4SnS5", "functional": "PBE", "state": "optimized geometry", "cell": [[5.859, 0.000, 0.000], [2.929, 6.333, 0.000], [2.929, 0.000, 6.333]], "species": ["Sn", "S", "Na", "Na", "S", "S", "S", "Na", "Na", "S"], "fractional_positions": [[0.063, 0.000, 0.000], [0.258, 0.817, 0.651], [0.593, 0.609, 0.204], [0.796, 0.796, 0.609], [0.727, 0.183, 0.349], [0.909, 0.349, 0.817], [0.482, 0.000, 0.000], [0.202, 0.204, 0.391], [0.405, 0.391, 0.796], [0.075, 0.651, 0.183]], "e_form_raw_ev_per_atom": -0.642, "space_group": "I4 (79)", "n_ef_per_ev_atom": 0.918}

---

Entry 3:
{"formula": "Na4Sn3S8", "functional": "PBE", "state": "optimized geometry", "cell": [[-1.716, 2.005, 6.300], [-5.740, -2.743, 2.486], [8.347, -13.652, 8.189]], "species": ["Na", "S", "S", "Na", "S", "Na", "S", "S", "Sn", "S", "Na", "S", "S", "Na", "Na", "S", "Na", "S", "S", "Sn", "Sn", "Sn", "S", "S", "Sn", "Na", "S", "Sn", "S", "S"], "fractional_positions": [[0.135, 0.429, 0.370], [0.678, 0.731, 0.485], [0.649, 0.298, 0.350], [0.235, 0.475, 0.162], [0.107, 0.254, 0.748], [0.765, 0.525, 0.838], [0.864, 0.171, 0.573], [0.893, 0.746, 0.252], [0.086, 0.914, 0.750], [0.731, 0.678, 0.985], [0.865, 0.571, 0.630], [0.322, 0.269, 0.515], [0.136, 0.829, 0.427], [0.475, 0.235, 0.662], [0.525, 0.765, 0.338], [0.702, 0.351, 0.150], [0.571, 0.865, 0.130], [0.746, 0.893, 0.752], [0.298, 0.649, 0.850], [0.914, 0.086, 0.250], [0.065, 0.731, 0.968], [0.269, 0.935, 0.532], [0.269, 0.322, 0.015], [0.351, 0.702, 0.650], [0.935, 0.269, 0.032], [0.429, 0.135, 0.870], [0.254, 0.107, 0.248], [0.731, 0.065, 0.468], [0.829, 0.136, 0.927], [0.171, 0.864, 0.073]], "e_form_raw_ev_per_atom": -0.740, "space_group": "C2/c (15)"}

---

Entry 4:
{"formula": "NaSn2S3", "functional": "PBE", "state": "optimized geometry", "cell": [[5.597, 0.000, 0.000], [0.000, 4.023, 0.000], [-2.799, -2.012, 6.130]], "species": ["S", "Na", "S", "Sn", "Sn", "S"], "fractional_positions": [[0.676, 0.800, 0.352], [0.500, 0.124, 0.000], [0.324, 0.448, 0.648], [0.836, 0.460, 0.673], [0.164, 0.788, 0.327], [0.000, 0.124, 0.000]], "e_form_raw_ev_per_atom": -0.623, "space_group": "Immm (71)", "n_ef_per_ev_atom": 0.422}

---

Entry 5:
{"formula": "NaSnS3", "functional": "PBE", "state": "optimized geometry", "cell": [[-1.886, -0.783, 4.521], [1.919, -4.574, 0.009], [4.167, 1.753, 2.042]], "species": ["S", "S", "Na", "Sn", "S"], "fractional_positions": [[0.000, 0.000, 0.500], [0.000, 0.500, 0.000], [0.000, 0.000, 0.000], [0.500, 0.500, 0.500], [0.500, 0.000, 0.000]], "e_form_raw_ev_per_atom": 0.529, "space_group": "Pm-3m (221)", "n_ef_per_ev_atom": 0.734}

---

Entry 6:
{"formula": "Na14Sn2S9", "functional": "PBE", "state": "optimized geometry", "cell": [[-5.894, -5.641, -0.635], [5.271, -0.275, 6.253], [-6.928, 6.548, 6.127]], "species": ["S", "S", "Na", "Na", "Na", "Na", "Na", "Na", "Na", "Na", "Na", "S", "Na", "S", "Na", "S", "Na", "S", "S", "Na", "S", "Sn", "Sn", "S", "Na"], "fractional_positions": [[0.333, 0.310, 0.660], [0.024, 0.333, 0.340], [0.030, 0.680, 0.908], [0.324, 0.959, 0.591], [0.676, 0.041, 0.409], [0.970, 0.320, 0.092], [0.959, 0.635, 0.409], [0.320, 0.350, 0.908], [0.365, 0.324, 0.409], [0.041, 0.365, 0.591], [0.635, 0.676, 0.591], [0.976, 0.667, 0.660], [0.680, 0.650, 0.092], [0.310, 0.976, 0.340], [0.000, 0.000, 0.746], [0.690, 0.024, 0.660], [0.350, 0.030, 0.092], [0.667, 0.333, 0.985], [0.333, 0.667, 0.015], [0.000, 0.000, 0.254], [0.667, 0.690, 0.340], [0.667, 0.333, 0.742], [0.333, 0.667, 0.258], [0.000, 0.000, 0.000], [0.650, 0.970, 0.908]], "e_form_raw_ev_per_atom": -0.928, "space_group": "P-3 (147)", "n_ef_per_ev_atom": 0.000}

---

Entry 7:
{"formula": "NaSnS2", "functional": "PBE", "state": "optimized geometry", "cell": [[7.193, -0.004, -0.002], [6.136, 3.753, -0.002], [6.136, 1.726, 3.333]], "species": ["Na", "S", "S", "Sn"], "fractional_positions": [[0.500, 0.500, 0.500], [0.257, 0.257, 0.257], [0.743, 0.743, 0.743], [0.000, 0.000, 0.000]], "e_form_raw_ev_per_atom": -0.689, "space_group": "R-3m (166)", "n_ef_per_ev_atom": 0.486}

---

Entry 8:
{"formula": "Na2Sn2S3", "functional": "PBE", "state": "optimized geometry", "cell": [[-5.890, 2.257, 2.614], [2.735, -2.804, 8.584], [0.153, 6.040, 1.924]], "species": ["Sn", "Na", "S", "Na", "Sn", "Sn", "S", "S", "S", "Sn", "S", "S", "Na", "Na"], "fractional_positions": [[0.364, 0.873, 0.885], [0.897, 0.866, 0.421], [0.000, 0.000, 0.000], [0.603, 0.366, 0.579], [0.136, 0.373, 0.115], [0.864, 0.627, 0.885], [0.634, 0.087, 0.710], [0.500, 0.500, 0.000], [0.134, 0.413, 0.710], [0.636, 0.127, 0.115], [0.866, 0.587, 0.290], [0.366, 0.913, 0.290], [0.103, 0.134, 0.579], [0.397, 0.634, 0.421]], "e_form_raw_ev_per_atom": -0.677, "space_group": "P2_1/c (14)"}

---

Entry 9:
{"formula": "Na5Sn2S6", "functional": "PBE", "state": "optimized geometry", "cell": [[-6.262, -3.733, 1.921], [-0.987, -7.061, -2.452], [8.038, -2.860, 11.871]], "species": ["S", "S", "Na", "Na", "Na", "S", "Na", "Sn", "Sn", "Na", "Sn", "S", "S", "S", "Na", "S", "Na", "Na", "Na", "S", "S", "Na", "S", "S", "S", "Sn"], "fractional_positions": [[0.735, 0.734, 0.516], [0.482, 0.857, 0.243], [0.895, 0.297, 0.551], [0.297, 0.895, 0.051], [0.703, 0.105, 0.949], [0.518, 0.143, 0.757], [0.456, 0.544, 0.750], [0.571, 0.996, 0.394], [0.004, 0.429, 0.106], [0.094, 0.180, 0.298], [0.429, 0.004, 0.606], [0.869, 0.201, 0.122], [0.734, 0.735, 0.016], [0.143, 0.518, 0.257], [0.820, 0.906, 0.202], [0.799, 0.131, 0.378], [0.105, 0.703, 0.449], [0.906, 0.820, 0.702], [0.180, 0.094, 0.798], [0.265, 0.266, 0.484], [0.266, 0.265, 0.984], [0.544, 0.456, 0.250], [0.131, 0.799, 0.878], [0.201, 0.869, 0.622], [0.857, 0.482, 0.743], [0.996, 0.571, 0.894]], "e_form_raw_ev_per_atom": -0.784, "space_group": "C2/c (15)", "n_ef_per_ev_atom": 0.390}

---

Entry 10:
{"formula": "Na3SnS", "functional": "PBE", "state": "optimized geometry", "cell": [[-4.400, -3.799, -0.505], [0.629, 0.043, -5.801], [3.780, -4.428, 0.377]], "species": ["Sn", "Na", "S", "Na", "Na"], "fractional_positions": [[0.000, 0.000, 0.000], [0.000, 0.500, 0.000], [0.500, 0.500, 0.500], [0.000, 0.000, 0.500], [0.500, 0.000, 0.000]], "e_form_raw_ev_per_atom": 0.295, "space_group": "Pm-3m (221)", "n_ef_per_ev_atom": 0.239}

---

Entry 11:
{"formula": "Na6Sn2S7", "functional": "PBE", "state": "optimized geometry", "cell": [[7.210, -0.011, 0.000], [-0.890, 7.154, 0.000], [2.628, 2.970, 14.772]], "species": ["S", "Sn", "Na", "S", "S", "Na", "Na", "S", "Na", "S", "S", "Na", "Na", "S", "Na", "Na", "Na", "S", "S", "Na", "S", "Sn", "Sn", "S", "S", "Sn", "S", "Na", "S", "Na"], "fractional_positions": [[0.312, 0.771, 0.103], [0.249, 0.070, 0.137], [0.499, 0.040, 0.363], [0.771, 0.312, 0.603], [0.266, 0.142, 0.516], [0.500, 0.500, 0.000], [0.240, 0.953, 0.926], [0.046, 0.954, 0.750], [0.431, 0.569, 0.250], [0.954, 0.046, 0.250], [0.142, 0.266, 0.016], [0.569, 0.431, 0.750], [0.040, 0.499, 0.863], [0.488, 0.759, 0.819], [0.501, 0.960, 0.637], [0.047, 0.760, 0.574], [0.960, 0.501, 0.137], [0.241, 0.512, 0.681], [0.858, 0.734, 0.984], [0.760, 0.047, 0.074], [0.512, 0.241, 0.181], [0.930, 0.751, 0.363], [0.070, 0.249, 0.637], [0.759, 0.488, 0.319], [0.734, 0.858, 0.484], [0.751, 0.930, 0.863], [0.229, 0.688, 0.397], [0.500, 0.500, 0.500], [0.688, 0.229, 0.897], [0.953, 0.240, 0.426]], "e_form_raw_ev_per_atom": -0.910, "space_group": "C2/c (15)", "n_ef_per_ev_atom": 0.000}

---

Entry 12:
{"formula": "NaSrSn2S4", "functional": "PBE", "state": "optimized geometry", "cell": [[-1.286, -5.771, -0.699], [4.606, -1.783, 3.324], [-4.905, 3.945, 3.274]], "species": ["Sn", "Sr", "S", "S", "Sn", "S", "Na", "S"], "fractional_positions": [[0.162, 0.662, 0.500], [0.934, 0.934, 0.000], [0.221, 0.221, 0.514], [0.942, 0.436, 0.000], [0.662, 0.162, 0.500], [0.707, 0.707, 0.486], [0.433, 0.433, 0.000], [0.436, 0.942, 0.000]], "e_form_raw_ev_per_atom": -0.973, "space_group": "Fmm2 (42)", "n_ef_per_ev_atom": 0.256}

---

Q: Number 12 is which compound?
A: NaSrSn2S4